(1)
## CrIn4Ag (PBE-GGA)

Data for an optimized crystal structure of CrIn4Ag.

Summary:
Energy relative to the elements, eV per atom: 0.50

Unit cell a=8.4437 b=8.4437 c=8.4437 alpha=90.00 beta=90.00 gamma=90.00
Space group F-43m (No. 216)
One atom of each set of equivalent atoms:
Cr 0.0000 0.0000 0.0000 [4 per cell]
In 0.1251 0.1251 0.6251 [16 per cell]
Ag 0.2500 0.2500 0.2500 [4 per cell]

***

(2)
## ZnTcRh2 (PBE-GGA)

Data for an optimized crystal structure of ZnTcRh2.

Summary:
Energy relative to the elements, eV per atom: 0.44

Unit cell a=6.8305 b=6.8305 c=5.4145 alpha=90.00 beta=90.00 gamma=90.00
Space group I-42d (No. 122)
One atom of each set of equivalent atoms:
Zn 0.0000 0.0000 0.0000 [4 per cell]
Tc 0.0000 0.0000 0.5000 [4 per cell]
Rh 0.2382 0.7500 0.6250 [8 per cell]

***

(3)
## TlGaSnAu3 (PBE-GGA)

Data for an optimized crystal structure of TlGaSnAu3.

Summary:
Energy relative to the elements, eV per atom: -0.05

Unit cell a=7.0634 b=15.8954 c=5.8556 alpha=90.00 beta=90.00 gamma=90.00
Space group Cmcm (No. 63)
One atom of each set of equivalent atoms:
Tl 0.0000 0.2457 0.2500 [4 per cell]
Ga 0.0000 0.1045 0.7500 [4 per cell]
Sn 0.0000 0.4314 0.7500 [4 per cell]
Au 0.0000 0.2611 0.7500 [4 per cell]
Au 0.2040 0.0000 0.0000 [8 per cell]

***

(4)
## Tb12Er3Tm (PBE-GGA)

Data for an optimized crystal structure of Tb12Er3Tm.

Summary:
Energy relative to the elements, eV per atom: 0.02

Unit cell a=5.0063 b=5.0063 c=20.0080 alpha=90.00 beta=90.00 gamma=90.00
Space group P4/mmm (No. 123)
One atom of each set of equivalent atoms:
Tb 0.0000 0.0000 0.0000 [1 per cell]
Tb 0.0000 0.0000 0.2503 [2 per cell]
Tb 0.0000 0.0000 0.5000 [1 per cell]
Tb 0.0000 0.5000 0.1251 [4 per cell]
Tb 0.0000 0.5000 0.3753 [4 per cell]
Er 0.5000 0.5000 0.0000 [1 per cell]
Er 0.5000 0.5000 0.2502 [2 per cell]
Tm 0.5000 0.5000 0.5000 [1 per cell]

***

(5)
## RbCu2SnS4 (PBE-GGA)

Data for an optimized crystal structure of RbCu2SnS4.

Summary:
E_tot, eV per atom: -4.1126

Unit cell a=6.4435 b=6.4435 c=9.0299 alpha=90.00 beta=90.00 gamma=90.00
Space group I-42m (No. 121)
One atom of each set of equivalent atoms:
Rb 0.0000 0.0000 0.0000 [2 per cell]
Cu 0.0000 0.5000 0.2500 [4 per cell]
Sn 0.0000 0.0000 0.5000 [2 per cell]
S 0.2056 0.2056 0.3264 [8 per cell]

***

(6)
## SrAl3Au (PBE-GGA)

Data for an optimized crystal structure of SrAl3Au.

Summary:
Energy relative to the elements, eV per atom: -0.24

Unit cell a=6.5030 b=6.5030 c=6.0936 alpha=90.00 beta=90.00 gamma=120.00
Space group P6_3/mmc (No. 194)
One atom of each set of equivalent atoms:
Sr 0.3333 0.6667 0.2500 [2 per cell]
Al 0.1929 0.3857 0.7500 [6 per cell]
Au 0.0000 0.0000 0.0000 [2 per cell]

***

no.,V (Å³ per atom)
1,25.1
2,15.8
3,27.4
4,31.3
5,23.4
6,22.3